(1)
A relaxed structure of AcEuTm2, computed with PBE.

```
data_AcEuTm2
_chemical_formula_sum 'Ac4 Eu4 Tm8'
_symmetry_space_group_name_H-M 'F m -3 m'
_symmetry_Int_Tables_number 225
_symmetry_space_group_name_Hall '-F 4 2 3'
_cell_length_a 8.323
_cell_length_b 8.323
_cell_length_c 8.323
_cell_angle_alpha 90.00
_cell_angle_beta 90.00
_cell_angle_gamma 90.00
loop_
_atom_site_label
_atom_site_type_symbol
_atom_site_fract_x
_atom_site_fract_y
_atom_site_fract_z
Ac1 Ac 0.000 0.000 0.000
Eu1 Eu 0.000 0.000 0.500
Tm1 Tm 0.250 0.250 0.250
```

=====

(2)
A relaxed structure of Ac2EuTm, computed with PBE.

```
data_Ac2EuTm
_chemical_formula_sum 'Ac2 Eu1 Tm1'
_symmetry_space_group_name_H-M 'P 4/m m m'
_symmetry_Int_Tables_number 123
_symmetry_space_group_name_Hall '-P 4 2'
_cell_length_a 5.554
_cell_length_b 5.554
_cell_length_c 5.140
_cell_angle_alpha 90.00
_cell_angle_beta 90.00
_cell_angle_gamma 90.00
loop_
_atom_site_label
_atom_site_type_symbol
_atom_site_fract_x
_atom_site_fract_y
_atom_site_fract_z
Ac1 Ac 0.000 0.500 0.000
Eu1 Eu 0.000 0.000 0.500
Tm1 Tm 0.500 0.500 0.500
```

=====

(3)
A relaxed structure of AcEuTm2, computed with PBE.

```
data_AcEuTm2
_chemical_formula_sum 'Ac1 Eu1 Tm2'
_symmetry_space_group_name_H-M 'P 4/m m m'
_symmetry_Int_Tables_number 123
_symmetry_space_group_name_Hall '-P 4 2'
_cell_length_a 5.272
_cell_length_b 5.272
_cell_length_c 5.140
_cell_angle_alpha 90.00
_cell_angle_beta 90.00
_cell_angle_gamma 90.00
loop_
_atom_site_label
_atom_site_type_symbol
_atom_site_fract_x
_atom_site_fract_y
_atom_site_fract_z
Ac1 Ac 0.000 0.000 0.000
Eu1 Eu 0.500 0.500 0.000
Tm1 Tm 0.000 0.500 0.500
```

=====

(4)
A relaxed structure of AcEuYTm, computed with PBE.

```
data_AcEuYTm
_chemical_formula_sum 'Ac4 Eu4 Y4 Tm4'
_symmetry_space_group_name_H-M 'F -4 3 m'
_symmetry_Int_Tables_number 216
_symmetry_space_group_name_Hall 'F -4 2 3'
_cell_length_a 8.377
_cell_length_b 8.377
_cell_length_c 8.377
_cell_angle_alpha 90.00
_cell_angle_beta 90.00
_cell_angle_gamma 90.00
loop_
_atom_site_label
_atom_site_type_symbol
_atom_site_fract_x
_atom_site_fract_y
_atom_site_fract_z
Ac1 Ac 0.000 0.000 0.000
Eu1 Eu 0.250 0.250 0.250
Y1 Y 0.000 0.000 0.500
Tm1 Tm 0.250 0.250 0.750
```

=====

(5)
A relaxed structure of AcEuTmZn, computed with PBE.

```
data_AcEuTmZn
_chemical_formula_sum 'Ac4 Eu4 Tm4 Zn4'
_symmetry_space_group_name_H-M 'F -4 3 m'
_symmetry_Int_Tables_number 216
_symmetry_space_group_name_Hall 'F -4 2 3'
_cell_length_a 7.961
_cell_length_b 7.961
_cell_length_c 7.961
_cell_angle_alpha 90.00
_cell_angle_beta 90.00
_cell_angle_gamma 90.00
loop_
_atom_site_label
_atom_site_type_symbol
_atom_site_fract_x
_atom_site_fract_y
_atom_site_fract_z
Ac1 Ac 0.000 0.000 0.000
Eu1 Eu 0.250 0.250 0.250
Tm1 Tm 0.250 0.250 0.750
Zn1 Zn 0.000 0.000 0.500
```

=====

(6)
A relaxed structure of Ac2EuV, computed with PBE.

```
data_Ac2EuV
_chemical_formula_sum 'Ac6 Eu3 V3'
_symmetry_space_group_name_H-M 'R -3 m'
_symmetry_Int_Tables_number 166
_symmetry_space_group_name_Hall '-R 3 2"'
_cell_length_a 3.7207
_cell_length_b 3.7207
_cell_length_c 37.8349
_cell_angle_alpha 90.00
_cell_angle_beta 90.00
_cell_angle_gamma 120.00
loop_
_atom_site_label
_atom_site_type_symbol
_atom_site_fract_x
_atom_site_fract_y
_atom_site_fract_z
Ac1 Ac 0.0000 0.0000 0.0794
Eu1 Eu 0.0000 0.0000 0.5000
V1 V 0.0000 0.0000 0.0000
```

=====

(7)
A relaxed structure of Ac4EuY, computed with PBE.

```
data_Ac4EuY
_chemical_formula_sum 'Ac16 Eu4 Y4'
_symmetry_space_group_name_H-M 'F -4 3 m'
_symmetry_Int_Tables_number 216
_symmetry_space_group_name_Hall 'F -4 2 3'
_cell_length_a 10.290
_cell_length_b 10.290
_cell_length_c 10.290
_cell_angle_alpha 90.00
_cell_angle_beta 90.00
_cell_angle_gamma 90.00
loop_
_atom_site_label
_atom_site_type_symbol
_atom_site_fract_x
_atom_site_fract_y
_atom_site_fract_z
Ac1 Ac 0.124 0.124 0.124
Eu1 Eu 0.000 0.000 0.500
Y1 Y 0.250 0.250 0.750
```

=====

(8)
A relaxed structure of AcEu2Y, computed with PBE.

```
data_AcEu2Y
_chemical_formula_sum 'Ac4 Eu8 Y4'
_symmetry_space_group_name_H-M 'F m -3 m'
_symmetry_Int_Tables_number 225
_symmetry_space_group_name_Hall '-F 4 2 3'
_cell_length_a 8.586
_cell_length_b 8.586
_cell_length_c 8.586
_cell_angle_alpha 90.00
_cell_angle_beta 90.00
_cell_angle_gamma 90.00
loop_
_atom_site_label
_atom_site_type_symbol
_atom_site_fract_x
_atom_site_fract_y
_atom_site_fract_z
Ac1 Ac 0.000 0.000 0.000
Eu1 Eu 0.250 0.250 0.250
Y1 Y 0.000 0.000 0.500
```

=====

Table of energy relative to the elements (kJ/mol of formula units), in record order: 56; 31; 46; 53; 76; 297; 167; 47
Table of D(E_F) (states/eV per cell), in record order: 24.12; 6.67; 7.00; 24.42; 19.58; 15.16; 62.47; 19.30